No. 1
Below is an optimized crystal structure of NdPuRu, with properties calculated at the PBE-GGA level.

```
NdPuRu
1.0
-2.454 -2.589 -0.347
2.430 -2.089 -1.605
1.505 0.256 5.949
Nd Pu Ru
1 1 1
Direct
0.008 0.008 0.015
0.294 0.294 0.587
0.699 0.699 0.397
```

Values from the calculation:
DFT formation energy = -1.39 kcal/mol of atoms
DOS at the Fermi energy = 6.02 states/eV per cell
excess energy over the best structure of this formula in the dataset = 0.052 eV per atom
size of the total moment = 4.9 μB/f.u.
DFT total energy = -9.52 eV/atom



No. 2
Below is an optimized crystal structure of Nd2PuRu3, with properties calculated at the PBE-GGA level.

```
Nd2PuRu3
1.0
4.373 0.000 0.000
0.000 5.609 0.000
-2.186 -2.805 5.565
Nd Ru Pu
2 3 1
Direct
0.327 0.827 0.654
0.673 0.173 0.346
0.626 0.626 0.252
0.374 0.374 0.748
0.000 0.000 0.000
0.000 0.500 0.000
```

Values from the calculation:
DFT formation energy = 3.20 kcal/mol of atoms
DOS at the Fermi energy = 10.27 states/eV per cell
excess energy over the best structure of this formula in the dataset = 0.400 eV per atom
size of the total moment = 2.9 μB/f.u.
DFT total energy = -8.48 eV/atom



> Among the records above, which one has the lowest size of the total moment?

Nd2PuRu3



> Look up the DOS at the Fermi energy of the second one.

10.27 states/eV per cell



> Among the records above, which one has the highest DFT total energy?

Nd2PuRu3